The following is a PBE calculation of an optimized crystal structure of Ce3Ge4Rh7, from Alexandria. Values from VASP.

Computed properties:
ρ ... 9.65 g/cm3
Energy of formation from the pure elements ... -1145 kJ/mol of formula units
Fermi-level density of states ... 12.91 states/eV/cell
Volume ... 17.598 Å³/atom
Space-group type ... C2/m, No. 12

The structure in Quantum ESPRESSO input format:
```
&SYSTEM
  ibrav = 0, nat = 14, ntyp = 3
/
ATOMIC_SPECIES
Ce 140.12 Ce.upf
Ge 72.64 Ge.upf
Rh 102.91 Rh.upf
CELL_PARAMETERS angstrom
-2.1649 2.5170 2.3755
-0.6499 -3.8925 7.0399
5.5847 3.0504 5.3652
ATOMIC_POSITIONS crystal
Ce 0.3308 0.1749 0.1635
Ce 0.6692 0.8251 0.8365
Ce 0.0000 0.5000 0.5000
Ge 0.6638 0.4483 0.2241
Ge 0.3362 0.5517 0.7759
Ge 0.8867 0.8875 0.3392
Ge 0.1133 0.1125 0.6608
Rh 0.3033 0.8470 0.5464
Rh 0.4951 0.2294 0.7805
Rh 0.8374 0.3974 0.9277
Rh 0.6967 0.1530 0.4536
Rh 0.1626 0.6026 0.0723
Rh 0.0000 0.0000 0.0000
Rh 0.5049 0.7706 0.2195
```